Record 1
# Hg4GeI3, relaxed, DFT PBE
# - DOS at the Fermi energy: 11.20 states/eV/cell
# - V: 715 Å³ per cell
# - ΔE_f (raw): -8.9 kJ per mole of atoms
data_Hg4GeI3
_chemical_formula_sum 'Hg8 Ge2 I6'
_space_group_name_H-M_alt 'I m m 2'
_space_group_IT_number 44
_cell_length_a 8.524
_cell_length_b 11.561
_cell_length_c 7.260
_cell_angle_alpha 90.00
_cell_angle_beta 90.00
_cell_angle_gamma 90.00
loop_
_space_group_symop_operation_xyz
'x,y,z'
'-x,-y,z'
'-x,y,z'
'x,-y,z'
'x+1/2,y+1/2,z+1/2'
'-x+1/2,-y+1/2,z+1/2'
'-x+1/2,y+1/2,z+1/2'
'x+1/2,-y+1/2,z+1/2'
loop_
_atom_site_label
_atom_site_type_symbol
_atom_site_fract_x
_atom_site_fract_y
_atom_site_fract_z
Hg1 Hg 0.000 0.157 0.000
Hg2 Hg 0.225 0.500 0.076
Ge1 Ge 0.000 0.000 0.744
I1 I 0.000 0.296 0.315
I2 I 0.000 0.500 0.768

=====

Record 2
# Hg4GeI2, relaxed, DFT PBE
# - DOS at the Fermi energy: 6.84 states/eV/cell
# - V: 476 Å³ per cell
# - ΔE_f (raw): -7.1 kJ per mole of atoms
data_Hg4GeI2
_chemical_formula_sum 'Hg8 Ge2 I4'
_space_group_name_H-M_alt 'I 4/m m m'
_space_group_IT_number 139
_space_group_name_Hall '-I 4 2'
_cell_length_a 5.371
_cell_length_b 5.371
_cell_length_c 16.492
_cell_angle_alpha 90.00
_cell_angle_beta 90.00
_cell_angle_gamma 90.00
loop_
_atom_site_label
_atom_site_type_symbol
_atom_site_fract_x
_atom_site_fract_y
_atom_site_fract_z
Hg1 Hg 0.000 0.000 0.167
Hg2 Hg 0.000 0.500 0.000
Ge1 Ge 0.000 0.000 0.000
I1 I 0.000 0.000 0.347

=====

Record 3
# Hg2GeI, relaxed, DFT PBE
# - DOS at the Fermi energy: 13.60 states/eV/cell
# - ΔE to the lowest computed polymorph: 0.0 meV per atom
# - V: 589 Å³ per cell
# - ΔE_f (raw): 7.5 kJ per mole of atoms
data_Hg2GeI
_chemical_formula_sum 'Hg8 Ge4 I4'
_space_group_name_H-M_alt 'I -4 2 d'
_space_group_IT_number 122
_space_group_name_Hall 'I -4 2bw'
_cell_length_a 6.780
_cell_length_b 6.780
_cell_length_c 12.818
_cell_angle_alpha 90.00
_cell_angle_beta 90.00
_cell_angle_gamma 90.00
loop_
_atom_site_label
_atom_site_type_symbol
_atom_site_fract_x
_atom_site_fract_y
_atom_site_fract_z
Hg1 Hg 0.179 0.250 0.125
Ge1 Ge 0.000 0.000 0.000
I1 I 0.000 0.000 0.500

=====

Record 4
# Hg2Ge2I, relaxed, DFT PBE
# - DOS at the Fermi energy: 4.31 states/eV/cell
# - ΔE to the lowest computed polymorph: 38.3 meV per atom
# - V: 260 Å³ per cell
# - ΔE_f (raw): 21.0 kJ per mole of atoms
data_Hg2Ge2I
_chemical_formula_sum 'Hg4 Ge4 I2'
_space_group_name_H-M_alt 'P 4/m b m'
_space_group_IT_number 127
_space_group_name_Hall '-P 4 2ab'
_cell_length_a 8.154
_cell_length_b 8.154
_cell_length_c 3.914
_cell_angle_alpha 90.00
_cell_angle_beta 90.00
_cell_angle_gamma 90.00
loop_
_atom_site_label
_atom_site_type_symbol
_atom_site_fract_x
_atom_site_fract_y
_atom_site_fract_z
Hg1 Hg 0.183 0.317 0.000
Ge1 Ge 0.118 0.618 0.500
I1 I 0.000 0.000 0.500

=====

Record 5
# Hg2Ge2I, relaxed, DFT PBE
# - DOS at the Fermi energy: 3.04 states/eV/cell
# - ΔE to the lowest computed polymorph: 55.7 meV per atom
# - V: 271 Å³ per cell
# - ΔE_f (raw): 22.7 kJ per mole of atoms
data_Hg2Ge2I
_chemical_formula_sum 'Hg4 Ge4 I2'
_space_group_name_H-M_alt 'I 4/m m m'
_space_group_IT_number 139
_space_group_name_Hall '-I 4 2'
_cell_length_a 4.972
_cell_length_b 4.972
_cell_length_c 10.974
_cell_angle_alpha 90.00
_cell_angle_beta 90.00
_cell_angle_gamma 90.00
loop_
_atom_site_label
_atom_site_type_symbol
_atom_site_fract_x
_atom_site_fract_y
_atom_site_fract_z
Hg1 Hg 0.000 0.500 0.250
Ge1 Ge 0.000 0.000 0.116
I1 I 0.000 0.000 0.500

=====

Record 6
# HgGeI2, relaxed, DFT PBE
# - DOS at the Fermi energy: 0.00 states/eV/cell
# - ΔE to the lowest computed polymorph: 4.0 meV per atom
# - V: 554 Å³ per cell
# - ΔE_f (raw): -20.8 kJ per mole of atoms
data_HgGeI2
_chemical_formula_sum 'Hg3 Ge3 I6'
_space_group_name_H-M_alt 'R -3 m'
_space_group_IT_number 166
_space_group_name_Hall '-R 3 2"'
_cell_length_a 4.2530
_cell_length_b 4.2530
_cell_length_c 35.3458
_cell_angle_alpha 90.00
_cell_angle_beta 90.00
_cell_angle_gamma 120.00
loop_
_atom_site_label
_atom_site_type_symbol
_atom_site_fract_x
_atom_site_fract_y
_atom_site_fract_z
Hg1 Hg 0.0000 0.0000 0.0000
Ge1 Ge 0.0000 0.0000 0.5000
I1 I 0.0000 0.0000 0.1167

=====

Record 7
# Hg2Ge2I, relaxed, DFT PBE
# - DOS at the Fermi energy: 5.35 states/eV/cell
# - ΔE to the lowest computed polymorph: 143.6 meV per atom
# - V: 265 Å³ per cell
# - ΔE_f (raw): 31.1 kJ per mole of atoms
data_Hg2Ge2I
_chemical_formula_sum 'Hg4 Ge4 I2'
_space_group_name_H-M_alt 'P 4/m b m'
_space_group_IT_number 127
_space_group_name_Hall '-P 4 2ab'
_cell_length_a 8.852
_cell_length_b 8.852
_cell_length_c 3.385
_cell_angle_alpha 90.00
_cell_angle_beta 90.00
_cell_angle_gamma 90.00
loop_
_atom_site_label
_atom_site_type_symbol
_atom_site_fract_x
_atom_site_fract_y
_atom_site_fract_z
Hg1 Hg 0.188 0.312 0.000
Ge1 Ge 0.104 0.604 0.500
I1 I 0.000 0.000 0.000

=====

Record 8
# Hg3GeI2, relaxed, DFT PBE
# - V: 1976 Å³ per cell
# - ΔE_f (raw): -15.4 kJ per mole of atoms
data_Hg3GeI2
_chemical_formula_sum 'Hg24 Ge8 I16'
_space_group_name_H-M_alt 'C m c e'
_space_group_IT_number 64
_space_group_name_Hall '-C 2ac 2'
_cell_length_a 8.613
_cell_length_b 14.242
_cell_length_c 16.111
_cell_angle_alpha 90.00
_cell_angle_beta 90.00
_cell_angle_gamma 90.00
loop_
_atom_site_label
_atom_site_type_symbol
_atom_site_fract_x
_atom_site_fract_y
_atom_site_fract_z
Hg1 Hg 0.000 0.083 0.120
Hg2 Hg 0.000 0.155 0.528
Hg3 Hg 0.250 0.232 0.750
Ge1 Ge 0.000 0.245 0.664
I1 I 0.000 0.072 0.373
I2 I 0.000 0.111 0.901

=====

Record 9
# HgGeI2, relaxed, DFT PBE
# - DOS at the Fermi energy: 2.43 states/eV/cell
# - ΔE to the lowest computed polymorph: 384.3 meV per atom
# - V: 496 Å³ per cell
# - ΔE_f (raw): 15.9 kJ per mole of atoms
data_HgGeI2
_chemical_formula_sum 'Hg4 Ge4 I8'
_space_group_name_H-M_alt 'F m -3 m'
_space_group_IT_number 225
_space_group_name_Hall '-F 4 2 3'
_cell_length_a 7.918
_cell_length_b 7.918
_cell_length_c 7.918
_cell_angle_alpha 90.00
_cell_angle_beta 90.00
_cell_angle_gamma 90.00
loop_
_atom_site_label
_atom_site_type_symbol
_atom_site_fract_x
_atom_site_fract_y
_atom_site_fract_z
Hg1 Hg 0.000 0.000 0.000
Ge1 Ge 0.000 0.000 0.500
I1 I 0.250 0.250 0.250

=====

Record 10
# HgGeI2, relaxed, DFT PBE
# - DOS at the Fermi energy: 0.00 states/eV/cell
# - ΔE to the lowest computed polymorph: 123.8 meV per atom
# - V: 915 Å³ per cell
# - ΔE_f (raw): -9.3 kJ per mole of atoms
data_HgGeI2
_chemical_formula_sum 'Hg4 Ge4 I8'
_space_group_name_H-M_alt 'I -4 2 d'
_space_group_IT_number 122
_space_group_name_Hall 'I -4 2bw'
_cell_length_a 8.689
_cell_length_b 8.689
_cell_length_c 12.116
_cell_angle_alpha 90.00
_cell_angle_beta 90.00
_cell_angle_gamma 90.00
loop_
_atom_site_label
_atom_site_type_symbol
_atom_site_fract_x
_atom_site_fract_y
_atom_site_fract_z
Hg1 Hg 0.000 0.000 0.000
Ge1 Ge 0.000 0.000 0.500
I1 I 0.129 0.250 0.625

=====

Record 11
# HgGeI2, relaxed, DFT PBE
# - DOS at the Fermi energy: 0.00 states/eV/cell
# - ΔE to the lowest computed polymorph: 1.0 meV per atom
# - V: 330 Å³ per cell
# - ΔE_f (raw): -21.1 kJ per mole of atoms
data_HgGeI2
_chemical_formula_sum 'Hg2 Ge2 I4'
_space_group_name_H-M_alt 'C 1 m 1'
_space_group_IT_number 8
_cell_length_a 7.386
_cell_length_b 4.260
_cell_length_c 10.775
_cell_angle_alpha 90.00
_cell_angle_beta 103.26
_cell_angle_gamma 90.00
loop_
_space_group_symop_operation_xyz
'x,y,z'
'x,-y,z'
'x+1/2,y+1/2,z'
'x+1/2,-y+1/2,z'
loop_
_atom_site_label
_atom_site_type_symbol
_atom_site_fract_x
_atom_site_fract_y
_atom_site_fract_z
Hg1 Hg 0.000 0.000 0.000
Ge1 Ge 0.333 0.500 0.500
I1 I 0.223 0.000 0.668
I2 I 0.444 0.000 0.332

=====

Record 12
# HgGe2I8, relaxed, DFT PBE
# - V: 1143 Å³ per cell
# - ΔE_f (raw): -18.9 kJ per mole of atoms
data_HgGe2I8
_chemical_formula_sum 'Hg2 Ge4 I16'
_space_group_name_H-M_alt 'C 1 2/m 1'
_space_group_IT_number 12
_cell_length_a 14.070
_cell_length_b 11.188
_cell_length_c 7.463
_cell_angle_alpha 90.00
_cell_angle_beta 103.46
_cell_angle_gamma 90.00
loop_
_space_group_symop_operation_xyz
'x,y,z'
'-x,-y,-z'
'-x,y,-z'
'x,-y,z'
'x+1/2,y+1/2,z'
'-x+1/2,-y+1/2,-z'
'-x+1/2,y+1/2,-z'
'x+1/2,-y+1/2,z'
loop_
_atom_site_label
_atom_site_type_symbol
_atom_site_fract_x
_atom_site_fract_y
_atom_site_fract_z
Hg1 Hg 0.000 0.000 0.000
Ge1 Ge 0.209 0.000 0.674
I1 I 0.098 0.500 0.145
I2 I 0.115 0.186 0.767
I3 I 0.172 0.000 0.288

=====

Record 13
# HgGeI2, relaxed, DFT PBE
# - DOS at the Fermi energy: 0.00 states/eV/cell
# - ΔE to the lowest computed polymorph: 0.0 meV per atom
# - V: 332 Å³ per cell
# - ΔE_f (raw): -21.2 kJ per mole of atoms
data_HgGeI2
_chemical_formula_sum 'Hg2 Ge2 I4'
_space_group_name_H-M_alt 'P 1 21/m 1'
_space_group_IT_number 11
_cell_length_a 7.415
_cell_length_b 4.284
_cell_length_c 10.944
_cell_angle_alpha 90.00
_cell_angle_beta 107.45
_cell_angle_gamma 90.00
loop_
_space_group_symop_operation_xyz
'x,y,z'
'-x,-y,-z'
'-x,y+1/2,-z'
'x,-y+1/2,z'
loop_
_atom_site_label
_atom_site_type_symbol
_atom_site_fract_x
_atom_site_fract_y
_atom_site_fract_z
Hg1 Hg 0.187 0.250 0.005
Ge1 Ge 0.251 0.750 0.501
I1 I 0.009 0.250 0.333
I2 I 0.491 0.250 0.669

=====

Record 14
# HgGeI, relaxed, DFT PBE
# - DOS at the Fermi energy: 2.50 states/eV/cell
# - V: 388 Å³ per cell
# - ΔE_f (raw): 3.3 kJ per mole of atoms
data_HgGeI
_chemical_formula_sum 'Hg4 Ge4 I4'
_space_group_name_H-M_alt 'P n a 21'
_space_group_IT_number 33
_cell_length_a 7.138
_cell_length_b 8.416
_cell_length_c 6.460
_cell_angle_alpha 90.00
_cell_angle_beta 90.00
_cell_angle_gamma 90.00
loop_
_space_group_symop_operation_xyz
'x,y,z'
'-x,-y,z+1/2'
'-x+1/2,y+1/2,z+1/2'
'x+1/2,-y+1/2,z'
loop_
_atom_site_label
_atom_site_type_symbol
_atom_site_fract_x
_atom_site_fract_y
_atom_site_fract_z
Hg1 Hg 0.104 0.112 0.000
Ge1 Ge 0.230 0.866 0.746
I1 I 0.065 0.637 0.044

=====

Record 15
# Hg4GeI4, relaxed, DFT PBE
# - V: 720 Å³ per cell
# - ΔE_f (raw): -18.6 kJ per mole of atoms
data_Hg4GeI4
_chemical_formula_sum 'Hg8 Ge2 I8'
_space_group_name_H-M_alt 'P 42/n'
_space_group_IT_number 86
_cell_length_a 10.242
_cell_length_b 10.242
_cell_length_c 6.864
_cell_angle_alpha 90.00
_cell_angle_beta 90.00
_cell_angle_gamma 90.00
loop_
_space_group_symop_operation_xyz
'x,y,z'
'-x,-y,-z'
'-y,x+1/2,z+1/2'
'y,-x+1/2,-z+1/2'
'-x+1/2,-y+1/2,z'
'x+1/2,y+1/2,-z'
'y+1/2,-x,z+1/2'
'-y+1/2,x,-z+1/2'
loop_
_atom_site_label
_atom_site_type_symbol
_atom_site_fract_x
_atom_site_fract_y
_atom_site_fract_z
Hg1 Hg 0.064 0.266 0.006
Ge1 Ge 0.250 0.250 0.250
I1 I 0.057 0.688 0.344

=====

Record 16
# HgGe2I6, relaxed, DFT PBE
# - V: 1259 Å³ per cell
# - ΔE_f (raw): -19.7 kJ per mole of atoms
data_HgGe2I6
_chemical_formula_sum 'Hg3 Ge6 I18'
_space_group_name_H-M_alt 'R 3'
_space_group_IT_number 146
_space_group_name_Hall 'R 3'
_cell_length_a 7.8382
_cell_length_b 7.8382
_cell_length_c 23.6657
_cell_angle_alpha 90.00
_cell_angle_beta 90.00
_cell_angle_gamma 120.00
loop_
_atom_site_label
_atom_site_type_symbol
_atom_site_fract_x
_atom_site_fract_y
_atom_site_fract_z
Hg1 Hg 0.0000 0.0000 0.0000
Ge1 Ge 0.0000 0.0000 0.5976
Ge2 Ge 0.0000 0.0000 0.7097
I1 I 0.0056 0.6072 0.4267
I2 I 0.0418 0.3484 0.9411

=====

Record 17
# HgGe2I4, relaxed, DFT PBE
# - DOS at the Fermi energy: 0.00 states/eV/cell
# - V: 856 Å³ per cell
# - ΔE_f (raw): -25.5 kJ per mole of atoms
data_HgGe2I4
_chemical_formula_sum 'Hg3 Ge6 I12'
_space_group_name_H-M_alt 'R -3 m'
_space_group_IT_number 166
_space_group_name_Hall '-R 3 2"'
_cell_length_a 4.2751
_cell_length_b 4.2751
_cell_length_c 54.0969
_cell_angle_alpha 90.00
_cell_angle_beta 90.00
_cell_angle_gamma 120.00
loop_
_atom_site_label
_atom_site_type_symbol
_atom_site_fract_x
_atom_site_fract_y
_atom_site_fract_z
Hg1 Hg 0.0000 0.0000 0.0000
Ge1 Ge 0.0000 0.0000 0.4300
I1 I 0.0000 0.0000 0.1292
I2 I 0.0000 0.0000 0.2691

=====

Record 18
# Hg2Ge2I, relaxed, DFT PBE
# - DOS at the Fermi energy: 3.15 states/eV/cell
# - ΔE to the lowest computed polymorph: 0.0 meV per atom
# - V: 272 Å³ per cell
# - ΔE_f (raw): 17.3 kJ per mole of atoms
data_Hg2Ge2I
_chemical_formula_sum 'Hg4 Ge4 I2'
_space_group_name_H-M_alt 'I 4/m m m'
_space_group_IT_number 139
_space_group_name_Hall '-I 4 2'
_cell_length_a 3.909
_cell_length_b 3.909
_cell_length_c 17.816
_cell_angle_alpha 90.00
_cell_angle_beta 90.00
_cell_angle_gamma 90.00
loop_
_atom_site_label
_atom_site_type_symbol
_atom_site_fract_x
_atom_site_fract_y
_atom_site_fract_z
Hg1 Hg 0.000 0.000 0.111
Ge1 Ge 0.000 0.500 0.250
I1 I 0.000 0.000 0.500

=====

Record 19
# HgGe3I, relaxed, DFT PBE
# - DOS at the Fermi energy: 5.35 states/eV/cell
# - ΔE to the lowest computed polymorph: 0.0 meV per atom
# - V: 153 Å³ per cell
# - ΔE_f (raw): 77.1 kJ per mole of atoms
data_HgGe3I
_chemical_formula_sum 'Hg1 Ge3 I1'
_space_group_name_H-M_alt 'P m -3 m'
_space_group_IT_number 221
_space_group_name_Hall '-P 4 2 3'
_cell_length_a 5.347
_cell_length_b 5.347
_cell_length_c 5.347
_cell_angle_alpha 90.00
_cell_angle_beta 90.00
_cell_angle_gamma 90.00
loop_
_atom_site_label
_atom_site_type_symbol
_atom_site_fract_x
_atom_site_fract_y
_atom_site_fract_z
Hg1 Hg 0.000 0.000 0.000
Ge1 Ge 0.000 0.000 0.500
I1 I 0.500 0.500 0.500

=====

Record 20
# Hg2GeI, relaxed, DFT PBE
# - DOS at the Fermi energy: 11.41 states/eV/cell
# - ΔE to the lowest computed polymorph: 341.4 meV per atom
# - V: 459 Å³ per cell
# - ΔE_f (raw): 40.5 kJ per mole of atoms
data_Hg2GeI
_chemical_formula_sum 'Hg8 Ge4 I4'
_space_group_name_H-M_alt 'F m -3 m'
_space_group_IT_number 225
_space_group_name_Hall '-F 4 2 3'
_cell_length_a 7.716
_cell_length_b 7.716
_cell_length_c 7.716
_cell_angle_alpha 90.00
_cell_angle_beta 90.00
_cell_angle_gamma 90.00
loop_
_atom_site_label
_atom_site_type_symbol
_atom_site_fract_x
_atom_site_fract_y
_atom_site_fract_z
Hg1 Hg 0.250 0.250 0.250
Ge1 Ge 0.000 0.000 0.000
I1 I 0.000 0.000 0.500

=====

Number 1: magnetization 0.000 μB/atom. Number 2: magnetization 0.000 μB/atom. Number 3: magnetization 0.000 μB/atom. Number 4: magnetization 0.000 μB/atom. Number 5: magnetization 0.000 μB/atom. Number 6: magnetization 0.000 μB/atom. Number 7: magnetization 0.000 μB/atom. Number 8: magnetization 0.000 μB/atom. Number 9: magnetization 0.000 μB/atom. Number 10: magnetization 0.000 μB/atom. Number 11: magnetization 0.000 μB/atom. Number 12: magnetization 0.000 μB/atom. Number 13: magnetization 0.000 μB/atom. Number 14: magnetization 0.000 μB/atom. Number 15: magnetization 0.000 μB/atom. Number 16: magnetization 0.000 μB/atom. Number 17: magnetization 0.000 μB/atom. Number 18: magnetization 0.000 μB/atom. Number 19: magnetization 0.000 μB/atom. Number 20: magnetization 0.201 μB/atom.